This record from the Alexandria database describes a relaxed structure of CrSiP. The functional is GGA-PBE.

a b c (Å): 5.606 5.606 5.606
angles (deg): 31.33 31.33 31.33
Fractional positions:
Cr 0.000 0.000 0.000
Si 0.564 0.564 0.564
P 0.424 0.424 0.424

Computed properties:
The calculation puts the polymorph energy (0 for the lowest one) at 0.21 eV per formula unit. The value obtained for the uncorrected formation energy is -0.175 eV/atom. The calculation puts the final energy at -6.99 eV per atom.